No. 1
DFT (PBE) results for an optimized crystal structure of Be2CdW.

Its crystal system is tetragonal. The calculated volume comes out at 107.7 Å³ per cell. As for the energy of formation from the pure elements: 2.2 eV/f.u. Its uncorrected energy is -38.22 eV/cell.

It has space group I-4m2 (No. 119), with a = 3.4718 Å, b = 3.4718 Å, c = 8.9346 Å, α = 90.00°, β = 90.00° and γ = 90.00°. Symmetry generates all atoms from Be at (0.0000, 0.0000, 0.0000), Be at (0.0000, 0.5000, 0.2500), Cd at (0.0000, 0.5000, 0.7500) and W at (0.0000, 0.0000, 0.5000).

No. 2
DFT (PBE) results for an optimized crystal structure of CaAlTe2N.

Its crystal system is tetragonal. The calculated volume comes out at 149.8 Å³ per cell. The energy above the most stable polymorph in this dataset is 1158 meV/atom. The calculation puts the uncorrected formation energy at 0.7886 eV/atom. Its uncorrected energy is -16.41 eV/cell.

It has space group P4/mmm (No. 123), with a = 5.9162 Å, b = 5.9162 Å, c = 4.2789 Å, α = 90.00°, β = 90.00° and γ = 90.00°. Symmetry generates all atoms from Ca at (0.0000, 0.0000, 0.0000), Al at (0.5000, 0.5000, 0.5000), Te at (0.0000, 0.5000, 0.0000) and N at (0.0000, 0.0000, 0.5000).

No. 3
DFT (PBE) results for an optimized crystal structure of Pr2I4N.

Its crystal system is tetragonal. The calculated volume comes out at 699.8 Å³ per cell. The calculation puts the uncorrected formation energy at -1.0278 eV/atom. Its uncorrected energy is -62.56 eV/cell.

It has space group P4_2/mnm (No. 136), with a = 14.0130 Å, b = 14.0130 Å, c = 3.5639 Å, α = 90.00°, β = 90.00° and γ = 90.00°. Symmetry generates all atoms from Pr at (0.0850, 0.0850, 0.0000), I at (0.0460, 0.2740, 0.5000) and N at (0.0000, 0.0000, 0.5000).

No. 4
DFT (PBE) results for an optimized crystal structure of Ce2Tl3CdSe6.

Its crystal system is monoclinic. The calculated volume comes out at 723.7 Å³ per cell. The calculation puts the uncorrected formation energy at -1.0563 eV/atom. Its uncorrected energy is -106.93 eV/cell.

It has space group C2/m (No. 12), with a = 7.3412 Å, b = 12.7210 Å, c = 8.1252 Å, α = 90.00°, β = 107.50° and γ = 90.00°. Symmetry generates all atoms from Ce at (0.0000, 0.1667, 0.0000), Tl at (0.0000, 0.0000, 0.5000), Tl at (0.0000, 0.3333, 0.5000), Cd at (0.0000, 0.5000, 0.0000), Se at (0.2346, 0.0000, 0.2077) and Se at (0.2368, 0.3325, 0.2083).

No. 5
DFT (PBE) results for an optimized crystal structure of LaZnSb3.

Its crystal system is cubic. The calculated volume comes out at 146.3 Å³ per cell. The calculation puts the uncorrected formation energy at -0.1182 eV/atom. Its uncorrected energy is -19.16 eV/cell.

It has space group Pm-3m (No. 221), with a = 5.2688 Å, b = 5.2688 Å, c = 5.2688 Å, α = 90.00°, β = 90.00° and γ = 90.00°. Symmetry generates all atoms from La at (0.0000, 0.0000, 0.0000), Zn at (0.5000, 0.5000, 0.5000) and Sb at (0.0000, 0.5000, 0.5000).

No. 6
DFT (PBE) results for an optimized crystal structure of SrHgP2.

Its crystal system is orthorhombic. The calculated volume comes out at 193.7 Å³ per cell. As for the energy of formation from the pure elements: -0.4 eV/f.u. Its uncorrected energy is -26.38 eV/cell.

It has space group Cmmm (No. 65), with a = 5.3692 Å, b = 5.8844 Å, c = 6.1305 Å, α = 90.00°, β = 90.00° and γ = 90.00°. Symmetry generates all atoms from Sr at (0.0000, 0.0000, 0.0000), Hg at (0.0000, 0.0000, 0.5000) and P at (0.0000, 0.5000, 0.3180).

No. 7
DFT (PBE) results for an optimized crystal structure of CaNdPt4.

Its crystal system is cubic. The calculated volume comes out at 466.7 Å³ per cell. As for the energy of formation from the pure elements: -6.2 eV/f.u. Its uncorrected energy is -148.35 eV/cell.

It has space group F-43m (No. 216), with a = 7.7567 Å, b = 7.7567 Å, c = 7.7567 Å, α = 90.00°, β = 90.00° and γ = 90.00°. Symmetry generates all atoms from Ca at (0.0000, 0.0000, 0.0000), Nd at (0.2500, 0.2500, 0.7500) and Pt at (0.1253, 0.1253, 0.3747).

No. 8
DFT (PBE) results for an optimized crystal structure of Ca2Ac3Pb2.

Its crystal system is monoclinic. The calculated volume comes out at 549.4 Å³ per cell. As for the energy of formation from the pure elements: -2.1 eV/f.u. Its uncorrected energy is -51.62 eV/cell.

It has space group C2/m (No. 12), with a = 12.6239 Å, b = 4.9072 Å, c = 9.2864 Å, α = 90.00°, β = 107.24° and γ = 90.00°. Symmetry generates all atoms from Ca at (0.1442, 0.0000, 0.2916), Ac at (0.0000, 0.5000, 0.5000), Ac at (0.1310, 0.5000, 0.9374) and Pb at (0.1781, 0.0000, 0.6898).

No. 9
DFT (PBE) results for an optimized crystal structure of K2TlTc.

Its crystal system is orthorhombic. The calculated volume comes out at 107.0 Å³ per cell. As for the energy of formation from the pure elements: 4.0 eV/f.u. The energy above the most stable polymorph in this dataset is 340 meV/atom. Its uncorrected energy is -10.88 eV/cell.

It has space group Pmmm (No. 47), with a = 3.0653 Å, b = 5.8253 Å, c = 5.9921 Å, α = 90.00°, β = 90.00° and γ = 90.00°. Symmetry generates all atoms from K at (0.0000, 0.0000, 0.2422), Tl at (0.5000, 0.5000, 0.5000) and Tc at (0.5000, 0.5000, 0.0000).

No. 10
DFT (PBE) results for an optimized crystal structure of Ti3S.

Its crystal system is monoclinic. The calculated volume comes out at 126.7 Å³ per cell. The calculation puts the uncorrected formation energy at -0.7251 eV/atom. Its uncorrected energy is -61.43 eV/cell.

It has space group P2_1/m (No. 11), with a = 5.9257 Å, b = 3.2814 Å, c = 6.5774 Å, α = 90.00°, β = 97.88° and γ = 90.00°. Symmetry generates all atoms from Ti at (0.0837, 0.2500, 0.3472), Ti at (0.2787, 0.2500, 0.9453), Ti at (0.3750, 0.7500, 0.6160) and S at (0.3532, 0.7500, 0.2235).

No. 11
DFT (PBE) results for an optimized crystal structure of LaSc2Se.

Its crystal system is tetragonal. The calculated volume comes out at 100.9 Å³ per cell. The calculation puts the uncorrected formation energy at -0.7006 eV/atom. Its uncorrected energy is -23.88 eV/cell.

It has space group P4mm (No. 99), with a = 3.6343 Å, b = 3.6343 Å, c = 7.6373 Å, α = 90.00°, β = 90.00° and γ = 90.00°. Symmetry generates all atoms from La at (0.0000, 0.0000, 0.0000), Sc at (0.0000, 0.0000, 0.5563), Sc at (0.5000, 0.5000, 0.3172) and Se at (0.5000, 0.5000, 0.7039).

No. 12
DFT (PBE) results for an optimized crystal structure of Th12Tc6Sn.

Its crystal system is cubic. The calculated volume comes out at 1038.7 Å³ per cell. As for the energy of formation from the pure elements: -1.7 eV/f.u. Its uncorrected energy is -313.81 eV/cell.

It has space group Im-3 (No. 204), with a = 10.1274 Å, b = 10.1274 Å, c = 10.1274 Å, α = 90.00°, β = 90.00° and γ = 90.00°. Symmetry generates all atoms from Th at (0.0000, 0.1844, 0.3047), Tc at (0.0000, 0.3581, 0.5000) and Sn at (0.0000, 0.0000, 0.0000).

No. 13
DFT (PBE) results for an optimized crystal structure of AcHo2Zn.

Its crystal system is tetragonal. The calculated volume comes out at 119.3 Å³ per cell. As for the energy of formation from the pure elements: 0.2 eV/f.u. The energy above the most stable polymorph in this dataset is 176 meV/atom. Its uncorrected energy is -14.33 eV/cell.

It has space group P4/mmm (No. 123), with a = 4.8516 Å, b = 4.8516 Å, c = 5.0679 Å, α = 90.00°, β = 90.00° and γ = 90.00°. Symmetry generates all atoms from Ac at (0.0000, 0.0000, 0.0000), Ho at (0.0000, 0.5000, 0.5000) and Zn at (0.5000, 0.5000, 0.0000).

No. 14
DFT (PBE) results for an optimized crystal structure of La2TlNiH.

Its crystal system is tetragonal. The calculated volume comes out at 110.8 Å³ per cell. Its uncorrected energy is -22.76 eV/cell.

It has space group P4/mmm (No. 123), with a = 5.4411 Å, b = 5.4411 Å, c = 3.7420 Å, α = 90.00°, β = 90.00° and γ = 90.00°. Symmetry generates all atoms from La at (0.0000, 0.5000, 0.0000), Tl at (0.0000, 0.0000, 0.5000), Ni at (0.5000, 0.5000, 0.5000) and H at (0.5000, 0.5000, 0.0000).

No. 15
DFT (PBE) results for an optimized crystal structure of K4PmPu3O12.

Its crystal system is cubic. The calculated volume comes out at 643.0 Å³ per cell. The calculation puts the uncorrected formation energy at -2.5657 eV/atom. Its uncorrected energy is -325.90 eV/cell.

It has space group Im-3m (No. 229), with a = 8.6314 Å, b = 8.6314 Å, c = 8.6314 Å, α = 90.00°, β = 90.00° and γ = 90.00°. Symmetry generates all atoms from K at (0.2500, 0.2500, 0.2500), Pm at (0.0000, 0.0000, 0.0000), Pu at (0.0000, 0.0000, 0.5000), O at (0.0000, 0.0000, 0.2690) and O at (0.0000, 0.2500, 0.5000).

No. 16
DFT (PBE) results for an optimized crystal structure of ScNb3Te.

Its crystal system is cubic. The calculated volume comes out at 127.4 Å³ per cell. The energy above the most stable polymorph in this dataset is 0 meV/atom. The calculation puts the uncorrected formation energy at 1.0574 eV/atom. Its uncorrected energy is -34.40 eV/cell.

It has space group Pm-3m (No. 221), with a = 5.0322 Å, b = 5.0322 Å, c = 5.0322 Å, α = 90.00°, β = 90.00° and γ = 90.00°. Symmetry generates all atoms from Sc at (0.0000, 0.0000, 0.0000), Nb at (0.0000, 0.5000, 0.5000) and Te at (0.5000, 0.5000, 0.5000).

No. 17
DFT (PBE) results for an optimized crystal structure of CeHoZn.

Its crystal system is orthorhombic. The calculated volume comes out at 295.5 Å³ per cell. As for the energy of formation from the pure elements: -0.5 eV/f.u. The energy above the most stable polymorph in this dataset is 0 meV/atom. Its uncorrected energy is -49.06 eV/cell.

It has space group Cmcm (No. 63), with a = 3.4399 Å, b = 16.8094 Å, c = 5.1101 Å, α = 90.00°, β = 90.00° and γ = 90.00°. Symmetry generates all atoms from Ce at (0.0000, 0.2274, 0.2500), Ho at (0.0000, 0.0779, 0.7500) and Zn at (0.0000, 0.4291, 0.7500).

No. 18
DFT (PBE) results for an optimized crystal structure of UTcNiSb.

Its crystal system is cubic. The calculated volume comes out at 288.3 Å³ per cell. The calculation puts the uncorrected formation energy at 0.0038 eV/atom. Its uncorrected energy is -126.17 eV/cell.

It has space group F-43m (No. 216), with a = 6.6058 Å, b = 6.6058 Å, c = 6.6058 Å, α = 90.00°, β = 90.00° and γ = 90.00°. Symmetry generates all atoms from U at (0.0000, 0.0000, 0.0000), Tc at (0.2500, 0.2500, 0.7500), Ni at (0.2500, 0.2500, 0.2500) and Sb at (0.0000, 0.0000, 0.5000).

No. 19
DFT (PBE) results for an optimized crystal structure of ZnNiRhPb.

Its crystal system is cubic. The calculated volume comes out at 253.2 Å³ per cell. As for the energy of formation from the pure elements: 0.0 eV/f.u. Its uncorrected energy is -72.30 eV/cell.

It has space group F-43m (No. 216), with a = 6.3263 Å, b = 6.3263 Å, c = 6.3263 Å, α = 90.00°, β = 90.00° and γ = 90.00°. Symmetry generates all atoms from Zn at (0.0000, 0.0000, 0.0000), Ni at (0.2500, 0.2500, 0.7500), Rh at (0.2500, 0.2500, 0.2500) and Pb at (0.0000, 0.0000, 0.5000).

No. 20
DFT (PBE) results for an optimized crystal structure of CaThAlGa.

Its crystal system is cubic. The calculated volume comes out at 400.8 Å³ per cell. As for the energy of formation from the pure elements: -1.1 eV/f.u. Its uncorrected energy is -69.23 eV/cell.

It has space group F-43m (No. 216), with a = 7.3733 Å, b = 7.3733 Å, c = 7.3733 Å, α = 90.00°, β = 90.00° and γ = 90.00°. Symmetry generates all atoms from Ca at (0.0000, 0.0000, 0.0000), Th at (0.0000, 0.0000, 0.5000), Al at (0.2500, 0.2500, 0.2500) and Ga at (0.2500, 0.2500, 0.7500).

No. 21
DFT (PBE) results for an optimized crystal structure of La15NdIn4.

Its crystal system is tetragonal. The calculated volume comes out at 665.0 Å³ per cell. As for the energy of formation from the pure elements: -4.6 eV/f.u. Its uncorrected energy is -94.25 eV/cell.

It has space group P4/mmm (No. 123), with a = 5.0820 Å, b = 5.0820 Å, c = 25.7498 Å, α = 90.00°, β = 90.00° and γ = 90.00°. Symmetry generates all atoms from La at (0.0000, 0.0000, 0.0000), La at (0.0000, 0.0000, 0.2054), La at (0.0000, 0.0000, 0.4008), La at (0.0000, 0.5000, 0.1050), La at (0.0000, 0.5000, 0.3028), La at (0.0000, 0.5000, 0.5000), Nd at (0.5000, 0.5000, 0.0000), In at (0.5000, 0.5000, 0.2045) and In at (0.5000, 0.5000, 0.4016).